! PmPuO4 (PBE, relaxed); values from VASP
! Total energy = -57.47 eV per cell
! Offset from the most stable computed form = 0.289 eV per formula unit
! Raw formation energy = -3.0925 eV/atom
&SYSTEM
  ibrav = 0, nat = 6, ntyp = 3
/
ATOMIC_SPECIES
Pm 145.00 Pm.upf
Pu 244.00 Pu.upf
O 16.00 O.upf
CELL_PARAMETERS angstrom
2.698 -2.698 0.000
2.698 2.698 0.000
-0.008 0.000 5.475
ATOMIC_POSITIONS angstrom
Pm 0.000 0.000 0.000
Pu 2.694 0.000 2.737
O 4.039 -1.350 4.001
O 1.349 1.350 1.474
O 4.039 1.350 4.001
O 1.349 -1.350 1.474